Entry from Alexandria: a relaxed Li6SiGe2 crystal (PBE).

Computed properties:
Formation energy without anion corrections   -291 meV/atom
DOS at the Fermi energy   0.36 states/eV/f.u.

a b c (Å): 2.6315 7.5968 9.2843
angles (deg): 114.15 125.28 90.00
Fractional coordinates of all 9 atoms:
Li 0.1621 0.3301 0.3305
Li 0.8379 0.9996 0.6695
Li 0.8379 0.6699 0.6695
Li 0.5000 0.3310 0.0000
Li 0.1621 0.0004 0.3305
Li 0.5000 0.6690 0.0000
Si 0.0000 0.0000 0.0000
Ge 0.6663 0.6667 0.3334
Ge 0.3337 0.3333 0.6666

=====

Entry from Alexandria: a relaxed Ba6NaN2 crystal (PBE).

Computed properties:
Formation energy without anion corrections   -219 meV/atom
DOS at the Fermi energy   3.95 states/eV/f.u.

a b c (Å): 4.5107 9.7249 10.7781
angles (deg): 113.10 90.00 103.41
Fractional coordinates of all 9 atoms:
Ba 0.9065 0.8131 0.7912
Ba 0.6650 0.3300 0.9803
Ba 0.3350 0.6700 0.0197
Ba 0.6910 0.3819 0.6347
Ba 0.3090 0.6181 0.3653
Ba 0.0935 0.1869 0.2088
Na 0.0000 0.0000 0.5000
N 0.7944 0.5889 0.8719
N 0.2056 0.4111 0.1281